DFT (GGA-PBE) results for ErMgPaAl after structural relaxation.

Unit cell a=5.136 b=5.136 c=5.136 alpha=60.00 beta=60.00 gamma=60.00
Last column: magnetic moment on the atom in μB.
Atoms (fractional coordinates):
Pa (0.250, 0.250, 0.250)  -0.35
Mg (0.500, 0.500, 0.500)  0.00
Er (0.750, 0.750, 0.750)  -0.05
Al (0.000, 0.000, 0.000)  0.00

Computed properties:
Fermi-level density of states = 5.68 states/eV per cell
Crystal system = cubic
Space group = F-43m
Energy of formation = 0.054 eV per atom
Final energy = -19.181 eV for the cell shown